A plane-wave DFT calculation with PBE was carried out for Be4ZnPd after structural relaxation.

Output
**N(E_F)**: 1.21 states/eV/f.u.
**Mass density**: 5.84 g/cm³
**Electronic total energy**: -3.87 eV/atom
**Formation enthalpy at 0 K**: -0.31 eV/atom

Lattice parameters (Å, degrees): 4.3724 4.3724 4.3724 60.00 60.00 60.00
Closest atoms and distances in Å follow each position.
Element x y z (fractional)
Be1 0.6255 0.6255 0.1235  6 Be 2.18-2.20
Be2 0.6255 0.1235 0.6255  6 Be 2.18-2.20
Be3 0.6255 0.6255 0.6255  6 Be 2.18-2.20
Be4 0.1235 0.6255 0.6255  6 Be 2.18-2.20
Zn1 0.2500 0.2500 0.2500  12 Be 2.56, 4 Pd 2.68
Pd1 0.0000 0.0000 0.0000  12 Be 2.56, 4 Zn 2.68